(w)
# SrGa2Si2O8

A relaxed structure of SrGa2Si2O8 (PBEsol, Alexandria via LeMat-Bulk).

Unit cell a=8.505 b=9.350 c=9.350 alpha=90.26 beta=97.03 gamma=82.97
Sites, in units of the cell vectors:
Sr: 0.697 0.571 0.938
Sr: 0.803 0.938 0.571
Sr: 0.303 0.429 0.062
Sr: 0.197 0.062 0.429
Ga: 0.880 0.941 0.202
Ga: 0.620 0.202 0.941
Ga: 0.120 0.059 0.798
Ga: 0.380 0.798 0.059
Ga: 0.476 0.707 0.547
Ga: 0.024 0.547 0.707
Ga: 0.524 0.293 0.453
Ga: 0.976 0.453 0.293
Si: 0.507 0.060 0.219
Si: 0.993 0.219 0.060
Si: 0.493 0.940 0.781
Si: 0.007 0.781 0.940
Si: 0.098 0.723 0.435
Si: 0.402 0.435 0.723
Si: 0.902 0.277 0.565
Si: 0.598 0.565 0.277
O: 0.999 0.090 0.179
O: 0.501 0.179 0.090
O: 0.001 0.910 0.821
O: 0.499 0.821 0.910
O: 0.498 0.569 0.687
O: 0.002 0.687 0.569
O: 0.502 0.431 0.313
O: 0.998 0.313 0.431
O: 0.878 0.816 0.055
O: 0.622 0.055 0.816
O: 0.122 0.184 0.945
O: 0.378 0.945 0.184
O: 0.391 0.323 0.592
O: 0.109 0.592 0.323
O: 0.609 0.677 0.408
O: 0.891 0.408 0.677
O: 0.689 0.986 0.270
O: 0.811 0.270 0.986
O: 0.311 0.014 0.730
O: 0.189 0.730 0.014
O: 0.007 0.123 0.624
O: 0.493 0.624 0.123
O: 0.993 0.877 0.376
O: 0.507 0.376 0.877
O: 0.437 0.142 0.359
O: 0.063 0.359 0.142
O: 0.563 0.858 0.641
O: 0.937 0.641 0.858
O: 0.728 0.221 0.519
O: 0.772 0.519 0.221
O: 0.272 0.779 0.481
O: 0.228 0.481 0.779

Results
symmetry: No. 15
DOS at the Fermi energy: 0.0 states/eV per cell



(x)
# SrGa2Si2O8

A relaxed structure of SrGa2Si2O8 (PBEsol, Alexandria via LeMat-Bulk).

Unit cell a=8.399 b=9.016 c=9.506 alpha=90.00 beta=90.00 gamma=90.78
Sites, in units of the cell vectors:
Sr: 0.253 0.388 0.914
Sr: 0.747 0.112 0.414
Sr: 0.747 0.612 0.086
Sr: 0.253 0.888 0.586
Ga: 0.572 0.553 0.690
Ga: 0.428 0.947 0.190
Ga: 0.428 0.447 0.310
Ga: 0.572 0.053 0.810
Ga: 0.069 0.772 0.925
Ga: 0.931 0.728 0.425
Ga: 0.931 0.228 0.075
Ga: 0.069 0.272 0.575
Si: 0.560 0.744 0.418
Si: 0.440 0.756 0.918
Si: 0.440 0.256 0.582
Si: 0.560 0.244 0.082
Si: 0.055 0.938 0.201
Si: 0.945 0.562 0.701
Si: 0.945 0.062 0.799
Si: 0.055 0.438 0.299
O: 0.738 0.822 0.427
O: 0.262 0.678 0.927
O: 0.262 0.178 0.573
O: 0.738 0.322 0.073
O: 0.773 0.507 0.641
O: 0.227 0.993 0.141
O: 0.227 0.493 0.359
O: 0.773 0.007 0.859
O: 0.434 0.392 0.694
O: 0.566 0.108 0.194
O: 0.566 0.608 0.306
O: 0.434 0.892 0.806
O: 0.074 0.426 0.698
O: 0.926 0.074 0.198
O: 0.926 0.574 0.302
O: 0.074 0.926 0.802
O: 0.560 0.622 0.872
O: 0.440 0.878 0.372
O: 0.440 0.378 0.128
O: 0.560 0.122 0.628
O: 0.018 0.194 0.901
O: 0.982 0.306 0.401
O: 0.982 0.806 0.099
O: 0.018 0.694 0.599
O: 0.486 0.191 0.931
O: 0.514 0.309 0.431
O: 0.514 0.809 0.069
O: 0.486 0.691 0.569
O: 0.935 0.119 0.635
O: 0.065 0.381 0.135
O: 0.065 0.881 0.365
O: 0.935 0.619 0.865

Results
symmetry: No. 14
DOS at the Fermi energy: 0.0 states/eV per cell



Which of them is the most stable? Correct choice: (x).



(w)
# Ga2WO6

A relaxed structure of Ga2WO6 (PBEsol, Alexandria via LeMat-Bulk).

Unit cell a=4.591 b=4.591 c=8.902 alpha=90.00 beta=90.00 gamma=90.00
Sites, in units of the cell vectors:
Ga: 0.500 0.500 0.336
Ga: 0.500 0.500 0.664
Ga: 0.000 0.000 0.164
Ga: 0.000 0.000 0.836
W: 0.500 0.500 0.000
W: 0.000 0.000 0.500
O: 0.696 0.696 0.161
O: 0.696 0.696 0.839
O: 0.701 0.701 0.500
O: 0.799 0.201 0.000
O: 0.804 0.196 0.339
O: 0.804 0.196 0.661
O: 0.196 0.804 0.339
O: 0.196 0.804 0.661
O: 0.201 0.799 0.000
O: 0.299 0.299 0.500
O: 0.304 0.304 0.161
O: 0.304 0.304 0.839

Results
symmetry: No. 136



(x)
# Ga2WO6

A relaxed structure of Ga2WO6 (PBEsol, Alexandria via LeMat-Bulk).

Unit cell a=4.521 b=4.917 c=16.643 alpha=90.00 beta=90.00 gamma=90.00
Sites, in units of the cell vectors:
Ga: 0.000 0.750 0.055
Ga: 0.000 0.250 0.274
Ga: 0.000 0.750 0.726
Ga: 0.000 0.250 0.945
Ga: 0.500 0.750 0.226
Ga: 0.500 0.750 0.555
Ga: 0.500 0.250 0.774
Ga: 0.500 0.250 0.445
W: 0.000 0.750 0.386
W: 0.000 0.250 0.614
W: 0.500 0.750 0.886
W: 0.500 0.250 0.114
O: 0.765 0.407 0.040
O: 0.765 0.907 0.960
O: 0.726 0.424 0.203
O: 0.726 0.924 0.797
O: 0.770 0.429 0.373
O: 0.770 0.929 0.627
O: 0.730 0.929 0.127
O: 0.730 0.429 0.873
O: 0.774 0.924 0.297
O: 0.774 0.424 0.703
O: 0.735 0.907 0.460
O: 0.735 0.407 0.540
O: 0.265 0.593 0.460
O: 0.265 0.093 0.540
O: 0.226 0.576 0.297
O: 0.226 0.076 0.703
O: 0.270 0.571 0.127
O: 0.270 0.071 0.873
O: 0.230 0.571 0.627
O: 0.230 0.071 0.373
O: 0.274 0.076 0.203
O: 0.274 0.576 0.797
O: 0.235 0.093 0.040
O: 0.235 0.593 0.960

Results
symmetry: No. 60
DOS at the Fermi energy: 0.0 states/eV per cell



(y)
# Ga2WO6

A relaxed structure of Ga2WO6 (PBEsol, Alexandria via LeMat-Bulk).

Unit cell a=4.732 b=7.134 c=11.402 alpha=93.31 beta=90.00 gamma=90.00
Sites, in units of the cell vectors:
Ga: 0.209 0.000 0.750
Ga: 0.791 0.000 0.250
Ga: 0.755 0.757 0.881
Ga: 0.245 0.757 0.381
Ga: 0.287 0.500 0.750
Ga: 0.713 0.500 0.250
Ga: 0.755 0.243 0.619
Ga: 0.245 0.243 0.119
W: 0.734 0.744 0.605
W: 0.266 0.744 0.105
W: 0.734 0.256 0.895
W: 0.266 0.256 0.395
O: 0.928 0.987 0.629
O: 0.441 0.834 0.526
O: 0.072 0.987 0.129
O: 0.492 0.813 0.758
O: 0.559 0.834 0.026
O: 0.994 0.683 0.740
O: 0.508 0.813 0.258
O: 0.048 0.670 0.983
O: 0.561 0.498 0.627
O: 0.006 0.683 0.240
O: 0.561 0.502 0.873
O: 0.048 0.330 0.517
O: 0.952 0.670 0.483
O: 0.439 0.498 0.127
O: 0.994 0.317 0.760
O: 0.439 0.502 0.373
O: 0.952 0.330 0.017
O: 0.492 0.187 0.742
O: 0.006 0.317 0.260
O: 0.441 0.166 0.974
O: 0.508 0.187 0.242
O: 0.928 0.013 0.871
O: 0.559 0.166 0.474
O: 0.072 0.013 0.371

Results
symmetry: No. 13
DOS at the Fermi energy: 0.0 states/eV per cell



(z)
# Ga2WO6

A relaxed structure of Ga2WO6 (PBEsol, Alexandria via LeMat-Bulk).

Unit cell a=4.981 b=9.440 c=9.440 alpha=84.08 beta=85.83 gamma=85.83
Sites, in units of the cell vectors:
Ga: 0.750 0.154 0.846
Ga: 0.750 0.701 0.299
Ga: 0.290 0.942 0.794
Ga: 0.790 0.794 0.942
Ga: 0.210 0.206 0.058
Ga: 0.710 0.058 0.206
Ga: 0.250 0.299 0.701
Ga: 0.250 0.846 0.154
W: 0.615 0.493 0.845
W: 0.885 0.155 0.507
W: 0.115 0.845 0.493
W: 0.385 0.507 0.155
O: 0.121 0.858 0.963
O: 0.298 0.555 0.954
O: 0.415 0.264 0.895
O: 0.423 0.474 0.693
O: 0.077 0.307 0.526
O: 0.085 0.105 0.736
O: 0.621 0.963 0.858
O: 0.601 0.193 0.646
O: 0.101 0.646 0.193
O: 0.732 0.189 0.338
O: 0.232 0.338 0.189
O: 0.202 0.046 0.445
O: 0.798 0.954 0.555
O: 0.768 0.662 0.811
O: 0.268 0.811 0.662
O: 0.899 0.354 0.807
O: 0.399 0.807 0.354
O: 0.379 0.037 0.142
O: 0.915 0.895 0.264
O: 0.923 0.693 0.474
O: 0.577 0.526 0.307
O: 0.585 0.736 0.105
O: 0.702 0.445 0.046
O: 0.879 0.142 0.037

Results
symmetry: No. 15
DOS at the Fermi energy: 0.0 states/eV per cell



Which of them is the most stable? Correct choice: (x).



(w)
# Y4Ga2O9

A relaxed structure of Y4Ga2O9 (PBEsol, Alexandria via LeMat-Bulk).

Unit cell a=6.008 b=10.937 c=11.344 alpha=90.00 beta=90.00 gamma=90.00
Sites, in units of the cell vectors:
Y: 0.749 0.085 0.001
Y: 0.251 0.585 0.001
Y: 0.271 0.293 0.139
Y: 0.729 0.793 0.139
Y: 0.771 0.293 0.361
Y: 0.229 0.793 0.361
Y: 0.249 0.085 0.499
Y: 0.751 0.585 0.499
Y: 0.249 0.415 0.501
Y: 0.751 0.915 0.501
Y: 0.771 0.207 0.639
Y: 0.229 0.707 0.639
Y: 0.271 0.207 0.861
Y: 0.729 0.707 0.861
Y: 0.251 0.915 0.999
Y: 0.749 0.415 0.999
Ga: 0.058 0.041 0.227
Ga: 0.942 0.541 0.227
Ga: 0.442 0.541 0.273
Ga: 0.558 0.041 0.273
Ga: 0.442 0.959 0.727
Ga: 0.558 0.459 0.727
Ga: 0.942 0.959 0.773
Ga: 0.058 0.459 0.773
O: 0.534 0.250 0.000
O: 0.466 0.750 0.000
O: 0.117 0.114 0.053
O: 0.883 0.614 0.053
O: 0.458 0.469 0.117
O: 0.542 0.969 0.117
O: 0.067 0.877 0.175
O: 0.933 0.377 0.175
O: 0.201 0.637 0.222
O: 0.799 0.137 0.222
O: 0.701 0.637 0.278
O: 0.299 0.137 0.278
O: 0.433 0.377 0.325
O: 0.567 0.877 0.325
O: 0.958 0.469 0.383
O: 0.042 0.969 0.383
O: 0.383 0.614 0.447
O: 0.617 0.114 0.447
O: 0.034 0.250 0.500
O: 0.966 0.750 0.500
O: 0.383 0.886 0.553
O: 0.617 0.386 0.553
O: 0.042 0.531 0.617
O: 0.958 0.031 0.617
O: 0.433 0.123 0.675
O: 0.567 0.623 0.675
O: 0.299 0.363 0.722
O: 0.701 0.863 0.722
O: 0.201 0.863 0.778
O: 0.799 0.363 0.778
O: 0.067 0.623 0.825
O: 0.933 0.123 0.825
O: 0.458 0.031 0.883
O: 0.542 0.531 0.883
O: 0.883 0.886 0.947
O: 0.117 0.386 0.947

Results
symmetry: No. 60
DOS at the Fermi energy: 0.0 states/eV per cell



(x)
# Y4Ga2O9

A relaxed structure of Y4Ga2O9 (PBEsol, Alexandria via LeMat-Bulk).

Unit cell a=7.328 b=10.549 c=11.280 alpha=90.00 beta=108.01 gamma=90.00
Sites, in units of the cell vectors:
Y: 0.019 0.898 0.800
Y: 0.019 0.602 0.300
Y: 0.163 0.118 0.586
Y: 0.342 0.626 0.939
Y: 0.163 0.382 0.086
Y: 0.342 0.874 0.439
Y: 0.480 0.383 0.721
Y: 0.520 0.883 0.779
Y: 0.480 0.117 0.221
Y: 0.520 0.617 0.279
Y: 0.658 0.126 0.561
Y: 0.837 0.618 0.914
Y: 0.658 0.374 0.061
Y: 0.837 0.882 0.414
Y: 0.981 0.398 0.700
Y: 0.981 0.102 0.200
Ga: 0.207 0.672 0.624
Ga: 0.343 0.168 0.893
Ga: 0.207 0.828 0.124
Ga: 0.343 0.332 0.393
Ga: 0.657 0.668 0.607
Ga: 0.793 0.172 0.876
Ga: 0.657 0.832 0.107
Ga: 0.793 0.328 0.376
O: 0.066 0.765 0.973
O: 0.079 0.491 0.895
O: 0.209 0.256 0.751
O: 0.233 0.756 0.772
O: 0.066 0.735 0.473
O: 0.079 0.009 0.395
O: 0.303 0.005 0.839
O: 0.212 0.504 0.653
O: 0.209 0.244 0.251
O: 0.233 0.744 0.272
O: 0.368 0.265 0.547
O: 0.303 0.495 0.339
O: 0.430 0.746 0.611
O: 0.564 0.507 0.892
O: 0.212 0.996 0.153
O: 0.436 0.007 0.608
O: 0.570 0.246 0.889
O: 0.632 0.765 0.953
O: 0.368 0.235 0.047
O: 0.430 0.754 0.111
O: 0.564 0.993 0.392
O: 0.788 0.004 0.847
O: 0.436 0.493 0.108
O: 0.570 0.254 0.389
O: 0.697 0.505 0.661
O: 0.632 0.735 0.453
O: 0.767 0.256 0.728
O: 0.791 0.756 0.749
O: 0.788 0.496 0.347
O: 0.697 0.995 0.161
O: 0.921 0.991 0.605
O: 0.934 0.265 0.527
O: 0.767 0.244 0.228
O: 0.791 0.744 0.249
O: 0.921 0.509 0.105
O: 0.934 0.235 0.027

Results
symmetry: No. 14
DOS at the Fermi energy: 0.0 states/eV per cell



Which of them is the most stable? Correct choice: (x).